(1)
An optimized crystal structure of HoPuNbN3. Source: Alexandria, functional PBE.

Cell: 5.7605 3.3228 8.5939 Å, 90.00 102.69 90.00°
Positions (direct):
Ho 0.1444 0.2500 0.1836
Ho 0.8556 0.7500 0.8164
Pu 0.2658 0.7500 0.5494
Pu 0.7342 0.2500 0.4506
Nb 0.3740 0.2500 0.8726
Nb 0.6260 0.7500 0.1274
N 0.0562 0.2500 0.6773
N 0.2436 0.7500 0.9939
N 0.4548 0.7500 0.3342
N 0.5452 0.2500 0.6658
N 0.7564 0.2500 0.0061
N 0.9438 0.7500 0.3227

Computed properties:
energy relative to the elements, uncorrected = -1312 meV per atom
total magnetic moment = 0.7494 μB/atom



(2)
An optimized crystal structure of Mg3PdCl. Source: Alexandria, functional PBE.

Cell: 4.7615 4.7615 4.7615 Å, 90.00 90.00 90.00°
Positions (direct):
Mg 0.0000 0.0000 0.5000
Mg 0.0000 0.5000 0.0000
Mg 0.5000 0.0000 0.0000
Pd 0.5000 0.5000 0.5000
Cl 0.0000 0.0000 0.0000

Computed properties:
energy relative to the elements, uncorrected = 24 meV per atom
offset from the most stable computed form = 409 meV per atom
total magnetic moment = 0.0000 μB/atom



(3)
An optimized crystal structure of Ba2MoOs. Source: Alexandria, functional PBE.

Cell: 5.4459 5.4459 5.4459 Å, 60.00 60.00 60.00°
Positions (direct):
Ba 0.2500 0.2500 0.2500
Ba 0.7500 0.7500 0.7500
Mo 0.0000 0.0000 0.0000
Os 0.5000 0.5000 0.5000

Computed properties:
formation enthalpy at 0 K = 1.514 eV/atom
offset from the most stable computed form = 1164 meV per atom
total magnetic moment = 1.0481 μB/atom



(4)
An optimized crystal structure of SrHgW2. Source: Alexandria, functional PBE.

Cell: 3.0011 3.0011 9.9690 Å, 90.00 90.00 110.05°
Positions (direct):
Sr 0.0000 0.0000 0.0000
Hg 0.5000 0.5000 0.7185
W 0.0000 0.0000 0.4703
W 0.5000 0.5000 0.2782

Computed properties:
formation enthalpy at 0 K = 0.708 eV/atom
total magnetic moment = 0.0000 μB/atom



(5)
An optimized crystal structure of V2InMoH. Source: Alexandria, functional PBE.

Cell: 4.0444 4.0444 3.9681 Å, 90.00 90.00 90.00°
Positions (direct):
V 0.0000 0.5000 0.0000
V 0.5000 0.0000 0.0000
In 0.0000 0.0000 0.5000
Mo 0.5000 0.5000 0.5000
H 0.5000 0.5000 0.0000

Computed properties:
offset from the most stable computed form = 0 meV per atom
total magnetic moment = 0.0000 μB/atom



(6)
An optimized crystal structure of AlNiP2. Source: Alexandria, functional PBE.

Cell: 3.4859 3.4037 4.8704 Å, 90.00 90.14 90.00°
Positions (direct):
Al 0.0000 0.0000 0.0000
Ni 0.5000 0.5000 0.5000
P 0.0000 0.0000 0.5000
P 0.5000 0.5000 0.0000

Computed properties:
formation enthalpy at 0 K = -0.182 eV/atom
total magnetic moment = 0.0000 μB/atom



(7)
An optimized crystal structure of MnCr2Ir. Source: Alexandria, functional PBE.

Cell: 8.3840 8.3840 8.3840 Å, 18.31 18.31 18.31°
Positions (direct):
Mn 0.0000 0.0000 0.0000
Cr 0.4929 0.4929 0.4929
Cr 0.7433 0.7433 0.7433
Ir 0.2442 0.2442 0.2442

Computed properties:
formation enthalpy at 0 K = 0.157 eV/atom
total magnetic moment = 0.1238 μB/atom



(8)
An optimized crystal structure of U3V5Te12. Source: Alexandria, functional PBE.

Cell: 14.6785 14.6785 14.6785 Å, 109.47 109.47 109.47°
Positions (direct):
U 0.1250 0.2500 0.3750
U 0.1250 0.3750 0.7500
U 0.2500 0.3750 0.1250
U 0.2500 0.8750 0.6250
U 0.3750 0.1250 0.2500
U 0.3750 0.7500 0.1250
U 0.6250 0.2500 0.8750
U 0.6250 0.8750 0.7500
U 0.7500 0.1250 0.3750
U 0.7500 0.6250 0.8750
U 0.8750 0.6250 0.2500
U 0.8750 0.7500 0.6250
V 0.0000 0.0000 0.0000
V 0.0000 0.0000 0.5000
V 0.0000 0.5000 0.0000
V 0.0000 0.5000 0.5000
V 0.1250 0.7500 0.8750
V 0.1250 0.8750 0.2500
V 0.2500 0.1250 0.8750
V 0.2500 0.6250 0.3750
V 0.3750 0.2500 0.6250
V 0.3750 0.6250 0.7500
V 0.5000 0.0000 0.0000
V 0.5000 0.0000 0.5000
V 0.5000 0.5000 0.0000
V 0.5000 0.5000 0.5000
V 0.6250 0.3750 0.2500
V 0.6250 0.7500 0.3750
V 0.7500 0.3750 0.6250
V 0.7500 0.8750 0.1250
V 0.8750 0.1250 0.7500
V 0.8750 0.2500 0.1250
Te 0.0355 0.2121 0.1216
Te 0.0355 0.3234 0.9140
Te 0.0860 0.6216 0.4095
Te 0.0860 0.9645 0.6766
Te 0.0905 0.7121 0.6766
Te 0.0905 0.8784 0.4140
Te 0.1216 0.0355 0.2121
Te 0.1216 0.5860 0.9095
Te 0.1766 0.2121 0.5905
Te 0.1766 0.4645 0.5860
Te 0.2121 0.1216 0.0355
Te 0.2121 0.5905 0.1766
Te 0.2879 0.3234 0.9095
Te 0.2879 0.4645 0.3784
Te 0.3234 0.9095 0.2879
Te 0.3234 0.9140 0.0355
Te 0.3784 0.2879 0.4645
Te 0.3784 0.5905 0.9140
Te 0.4095 0.0860 0.6216
Te 0.4095 0.8234 0.7879
Te 0.4140 0.0905 0.8784
Te 0.4140 0.8234 0.5355
Te 0.4645 0.3784 0.2879
Te 0.4645 0.5860 0.1766
Te 0.5355 0.4140 0.8234
Te 0.5355 0.6216 0.7121
Te 0.5860 0.1766 0.4645
Te 0.5860 0.9095 0.1216
Te 0.5905 0.1766 0.2121
Te 0.5905 0.9140 0.3784
Te 0.6216 0.4095 0.0860
Te 0.6216 0.7121 0.5355
Te 0.6766 0.0860 0.9645
Te 0.6766 0.0905 0.7121
Te 0.7121 0.5355 0.6216
Te 0.7121 0.6766 0.0905
Te 0.7879 0.4095 0.8234
Te 0.7879 0.8784 0.9645
Te 0.8234 0.5355 0.4140
Te 0.8234 0.7879 0.4095
Te 0.8784 0.4140 0.0905
Te 0.8784 0.9645 0.7879
Te 0.9095 0.1216 0.5860
Te 0.9095 0.2879 0.3234
Te 0.9140 0.0355 0.3234
Te 0.9140 0.3784 0.5905
Te 0.9645 0.6766 0.0860
Te 0.9645 0.7879 0.8784

Computed properties:
energy relative to the elements, uncorrected = -280 meV per atom
total magnetic moment = 0.9500 μB/atom



(9)
An optimized crystal structure of FeMoPt2. Source: Alexandria, functional PBE.

Cell: 4.8310 4.8310 2.7228 Å, 90.00 90.00 110.88°
Positions (direct):
Fe 0.0000 0.0000 0.0000
Mo 0.5000 0.5000 0.0000
Pt 0.0000 0.5000 0.5000
Pt 0.5000 0.0000 0.5000

Computed properties:
formation enthalpy at 0 K = -0.203 eV/atom
total magnetic moment = 0.7471 μB/atom



(10)
An optimized crystal structure of Ho6Bi2TeSe3. Source: Alexandria, functional PBE.

Cell: 9.5096 9.5096 8.5116 Å, 103.66 103.66 25.65°
Positions (direct):
Ho 0.0055 0.0055 0.2307
Ho 0.3263 0.3263 0.4282
Ho 0.3392 0.3392 0.9024
Ho 0.6608 0.6608 0.0976
Ho 0.6737 0.6737 0.5718
Ho 0.9945 0.9945 0.7693
Bi 0.1662 0.1662 0.8330
Bi 0.8338 0.8338 0.1670
Te 0.5000 0.5000 0.5000
Se 0.1659 0.1659 0.3351
Se 0.5000 0.5000 0.0000
Se 0.8341 0.8341 0.6649

Computed properties:
energy relative to the elements, uncorrected = -1342 meV per atom
total magnetic moment = 0.0000 μB/atom



(11)
An optimized crystal structure of Hf2BPb. Source: Alexandria, functional PBE.

Cell: 7.7576 7.7576 7.7576 Å, 25.87 25.87 25.87°
Positions (direct):
Hf 0.2216 0.2216 0.2216
Hf 0.7784 0.7784 0.7784
B 0.5000 0.5000 0.5000
Pb 0.0000 0.0000 0.0000

Computed properties:
formation enthalpy at 0 K = -0.460 eV/atom
offset from the most stable computed form = 0 meV per atom
total magnetic moment = 0.0000 μB/atom



(12)
An optimized crystal structure of HgPPt4. Source: Alexandria, functional PBE.

Cell: 4.6735 6.7580 7.0949 Å, 101.52 109.15 90.19°
Positions (direct):
Hg 0.1102 0.2496 0.0011
Hg 0.8898 0.7504 0.9989
P 0.0000 0.5000 0.5000
P 0.5000 0.0000 0.5000
Pt 0.0289 0.1504 0.3953
Pt 0.3039 0.5677 0.8335
Pt 0.3679 0.6502 0.3959
Pt 0.4719 0.9309 0.1663
Pt 0.5281 0.0691 0.8337
Pt 0.6321 0.3498 0.6041
Pt 0.6961 0.4323 0.1665
Pt 0.9711 0.8496 0.6047

Computed properties:
formation enthalpy at 0 K = -0.154 eV/atom
offset from the most stable computed form = 0 meV per atom
total magnetic moment = 0.0000 μB/atom



(13)
An optimized crystal structure of LiEu2O. Source: Alexandria, functional PBE.

Cell: 9.7618 9.7618 9.7618 Å, 21.25 21.25 21.25°
Positions (direct):
Li 0.0000 0.0000 0.0000
Eu 0.1168 0.1168 0.1168
Eu 0.8832 0.8832 0.8832
O 0.5000 0.5000 0.5000

Computed properties:
energy relative to the elements, uncorrected = -1192 meV per atom
total magnetic moment = 3.7661 μB/atom



(14)
An optimized crystal structure of Er3BeBr3. Source: Alexandria, functional PBE.

Cell: 9.8486 9.8486 9.8486 Å, 109.47 109.47 109.47°
Positions (direct):
Er 0.0158 0.0316 0.2658
Er 0.0158 0.4842 0.7500
Er 0.0316 0.2658 0.0158
Er 0.2342 0.2658 0.7500
Er 0.2342 0.4684 0.4842
Er 0.2658 0.0158 0.0316
Er 0.2658 0.7500 0.2342
Er 0.4684 0.4842 0.2342
Er 0.4842 0.2342 0.4684
Er 0.4842 0.7500 0.0158
Er 0.7500 0.0158 0.4842
Er 0.7500 0.2342 0.2658
Be 0.0000 0.2500 0.5000
Be 0.2500 0.2500 0.2500
Be 0.2500 0.5000 0.0000
Be 0.5000 0.0000 0.2500
Br 0.2500 0.7582 0.7418
Br 0.2500 0.9918 0.5082
Br 0.5082 0.2500 0.9918
Br 0.5082 0.7582 0.5165
Br 0.5165 0.5082 0.7582
Br 0.7418 0.2500 0.7582
Br 0.7418 0.9918 0.9835
Br 0.7582 0.5165 0.5082
Br 0.7582 0.7418 0.2500
Br 0.9835 0.7418 0.9918
Br 0.9918 0.5082 0.2500
Br 0.9918 0.9835 0.7418

Computed properties:
energy relative to the elements, uncorrected = -1033 meV per atom
total magnetic moment = 0.0000 μB/atom



(15)
An optimized crystal structure of MnBe2V4. Source: Alexandria, functional PBE.

Cell: 6.3290 6.3290 6.3290 Å, 140.12 140.12 57.67°
Positions (direct):
Mn 0.0000 0.0000 0.0000
Be 0.4028 0.4028 0.0000
Be 0.5972 0.5972 0.0000
V 0.0000 0.5000 0.5000
V 0.1965 0.1965 0.0000
V 0.5000 0.0000 0.5000
V 0.8035 0.8035 0.0000

Computed properties:
formation enthalpy at 0 K = 0.882 eV/atom
total magnetic moment = 0.3361 μB/atom



(16)
An optimized crystal structure of LiGaSe2. Source: Alexandria, functional PBE.

Cell: 6.9443 6.9443 6.9443 Å, 127.46 77.58 127.37°
Positions (direct):
Li 0.2500 0.2500 0.0000
Li 0.7500 0.7500 0.0000
Ga 0.2500 0.7500 0.5000
Ga 0.7500 0.2500 0.5000
Se 0.1244 0.7214 0.8458
Se 0.3756 0.2214 0.5970
Se 0.6244 0.7786 0.4029
Se 0.8756 0.2786 0.1542

Computed properties:
energy relative to the elements, uncorrected = -832 meV per atom
total magnetic moment = 0.0000 μB/atom



(17)
An optimized crystal structure of AgB. Source: Alexandria, functional PBE.

Cell: 3.5695 3.5695 5.8799 Å, 90.00 90.00 120.00°
Positions (direct):
Ag 0.3333 0.6667 0.0000
Ag 0.6667 0.3333 0.5000
B 0.3333 0.6667 0.6243
B 0.6667 0.3333 0.1243

Computed properties:
formation enthalpy at 0 K = 1.442 eV/atom
offset from the most stable computed form = 1065 meV per atom
total magnetic moment = 0.0000 μB/atom



(18)
An optimized crystal structure of TbDy4Sc7. Source: Alexandria, functional PBE.

Cell: 6.3118 6.3118 12.0225 Å, 112.79 112.79 52.04°
Positions (direct):
Tb 0.0000 0.0000 0.0000
Dy 0.1328 0.1328 0.7742
Dy 0.4066 0.4066 0.7023
Dy 0.5934 0.5934 0.2977
Dy 0.8672 0.8672 0.2258
Sc 0.1288 0.1288 0.4843
Sc 0.2927 0.2927 0.0840
Sc 0.3443 0.3443 0.3791
Sc 0.5000 0.5000 0.0000
Sc 0.6557 0.6557 0.6209
Sc 0.7073 0.7073 0.9160
Sc 0.8712 0.8712 0.5157

Computed properties:
formation enthalpy at 0 K = 0.273 eV/atom
total magnetic moment = 0.0403 μB/atom



(19)
An optimized crystal structure of Zr2ReTc. Source: Alexandria, functional PBE.

Cell: 3.2870 4.4570 4.8756 Å, 90.00 90.00 90.00°
Positions (direct):
Zr 0.0000 0.0000 0.0000
Zr 0.5000 0.0000 0.5000
Re 0.0000 0.5000 0.5000
Tc 0.5000 0.5000 0.0000

Computed properties:
formation enthalpy at 0 K = -0.059 eV/atom
total magnetic moment = 0.0001 μB/atom



(20)
An optimized crystal structure of Rb2NbBiCl6. Source: Alexandria, functional PBE.

Cell: 8.1743 8.1743 8.1743 Å, 125.90 125.90 80.05°
Positions (direct):
Rb 0.2500 0.7500 0.5000
Rb 0.7500 0.2500 0.5000
Nb 0.0000 0.0000 0.0000
Bi 0.5000 0.5000 0.0000
Cl 0.2015 0.2015 0.0000
Cl 0.2395 0.2395 0.4790
Cl 0.2395 0.7605 0.0000
Cl 0.7605 0.2395 0.0000
Cl 0.7605 0.7605 0.5210
Cl 0.7985 0.7985 0.0000

Computed properties:
energy relative to the elements, uncorrected = -1180 meV per atom
total magnetic moment = 0.2000 μB/atom